(1)
Below is crystalline SiTeIr2 at its relaxed geometry, with properties calculated at the PBE level.

abc: 5.366 5.366 3.024
angles: 106.28 106.28 114.66
Fractional coordinates of all 4 atoms:
Si: 0.000 0.000 0.000
Te: 0.500 0.500 0.000
Ir: 0.000 0.500 0.000
Ir: 0.500 0.000 0.000

E above lowest polymorph: 2.901 eV/f.u.
Density: 13.27 g/cm3
Formation energy (no corrections): 521.7 meV per atom



(2)
Below is crystalline ThSbHRu at its relaxed geometry, with properties calculated at the PBE level.

abc: 4.673 4.673 3.757
angles: 90.00 90.00 120.00
Fractional coordinates of all 4 atoms:
Th: 0.000 0.000 0.000
Sb: 0.333 0.667 0.500
H: 0.667 0.333 0.000
Ru: 0.667 0.333 0.500

Density: 10.66 g/cm3
Total energy: -6.68 eV per atom



(3)
Below is crystalline TlRuIN2 at its relaxed geometry, with properties calculated at the PBE level.

abc: 4.089 4.089 5.726
angles: 90.00 90.00 90.00
Fractional coordinates of all 5 atoms:
Tl: 0.000 0.000 0.000
Ru: 0.500 0.500 0.500
I: 0.500 0.500 0.000
N: 0.000 0.500 0.500
N: 0.500 0.000 0.500

E above lowest polymorph: 0.000 eV/f.u.
Density: 7.98 g/cm3
Formation energy (no corrections): 1038.9 meV per atom



(4)
Below is crystalline La2HS at its relaxed geometry, with properties calculated at the PBE level.

abc: 6.944 6.944 6.944
angles: 33.32 33.32 33.32
Fractional coordinates of all 4 atoms:
La: 0.247 0.247 0.247
La: 0.753 0.753 0.753
H: 0.500 0.500 0.500
S: 0.000 0.000 0.000

E above lowest polymorph: 0.000 eV/f.u.
Density: 5.74 g/cm3



(5)
Below is crystalline Tb12CeHo5 at its relaxed geometry, with properties calculated at the PBE level.

abc: 10.646 10.646 5.020
angles: 90.00 90.00 90.04
Fractional coordinates of all 18 atoms:
Tb: 0.000 0.333 0.500
Tb: 0.000 0.667 0.500
Tb: 0.165 0.165 0.000
Tb: 0.168 0.500 0.000
Tb: 0.333 0.000 0.500
Tb: 0.334 0.334 0.500
Tb: 0.500 0.168 0.000
Tb: 0.500 0.832 0.000
Tb: 0.666 0.666 0.500
Tb: 0.667 0.000 0.500
Tb: 0.832 0.500 0.000
Tb: 0.835 0.835 0.000
Ce: 0.000 0.000 0.500
Ho: 0.166 0.834 0.000
Ho: 0.333 0.667 0.500
Ho: 0.500 0.500 0.000
Ho: 0.667 0.333 0.500
Ho: 0.834 0.166 0.000

Formation energy from the elements: 0.524 eV/f.u.
Density: 8.38 g/cm3



(6)
Below is crystalline TlCrRe2 at its relaxed geometry, with properties calculated at the PBE level.

abc: 3.283 4.374 4.531
angles: 90.00 90.00 90.00
Fractional coordinates of all 4 atoms:
Tl: 0.000 0.000 0.000
Cr: 0.500 0.500 0.000
Re: 0.000 0.500 0.500
Re: 0.500 0.000 0.500

Formation energy from the elements: 3.424 eV/f.u.
E above lowest polymorph: 1.364 eV/f.u.
Density: 16.05 g/cm3



(7)
Below is crystalline Pr6Nd2Ho at its relaxed geometry, with properties calculated at the PBE level.

abc: 9.918 9.918 6.829
angles: 100.00 100.00 99.25
Fractional coordinates of all 18 atoms:
Pr: 0.042 0.426 0.700
Pr: 0.141 0.766 0.979
Pr: 0.234 0.859 0.521
Pr: 0.264 0.463 0.181
Pr: 0.426 0.042 0.200
Pr: 0.463 0.264 0.681
Pr: 0.537 0.736 0.319
Pr: 0.574 0.958 0.800
Pr: 0.736 0.537 0.819
Pr: 0.766 0.141 0.479
Pr: 0.859 0.234 0.021
Pr: 0.958 0.574 0.300
Nd: 0.123 0.162 0.365
Nd: 0.162 0.123 0.865
Nd: 0.838 0.877 0.135
Nd: 0.877 0.838 0.635
Ho: 0.392 0.608 0.750
Ho: 0.608 0.392 0.250

Formation energy from the elements: 0.981 eV/f.u.
E above lowest polymorph: 0.000 eV/f.u.
Density: 6.75 g/cm3



(8)
Below is crystalline Er6Mg2Tc at its relaxed geometry, with properties calculated at the PBE level.

abc: 3.682 8.756 8.756
angles: 118.86 90.00 90.00
Fractional coordinates of all 9 atoms:
Er: 0.000 0.000 0.000
Er: 0.000 0.504 0.739
Er: 0.000 0.739 0.504
Er: 0.500 0.120 0.746
Er: 0.500 0.358 0.358
Er: 0.500 0.746 0.120
Mg: 0.000 0.077 0.414
Mg: 0.000 0.414 0.077
Tc: 0.500 0.764 0.764

Formation energy from the elements: -0.207 eV/f.u.
E above lowest polymorph: 0.000 eV/f.u.
Density: 7.73 g/cm3



(9)
Below is crystalline SrCdAsBr2 at its relaxed geometry, with properties calculated at the PBE level.

abc: 5.542 5.542 5.312
angles: 90.00 90.00 90.00
Fractional coordinates of all 5 atoms:
Sr: 0.000 0.000 0.000
Cd: 0.500 0.500 0.500
As: 0.500 0.500 0.000
Br: 0.000 0.500 0.500
Br: 0.500 0.000 0.500

E above lowest polymorph: 0.000 eV/f.u.
Density: 4.43 g/cm3
Formation energy (no corrections): -612.6 meV per atom



(10)
Below is crystalline Pm3Ho2Hg6 at its relaxed geometry, with properties calculated at the PBE level.

abc: 13.827 13.827 13.827
angles: 158.51 158.51 30.57
Fractional coordinates of all 11 atoms:
Pm: 0.000 0.000 0.000
Pm: 0.146 0.146 0.000
Pm: 0.854 0.854 0.000
Ho: 0.378 0.378 0.000
Ho: 0.622 0.622 0.000
Hg: 0.066 0.566 0.500
Hg: 0.265 0.265 0.000
Hg: 0.434 0.934 0.500
Hg: 0.566 0.066 0.500
Hg: 0.735 0.735 0.000
Hg: 0.934 0.434 0.500

Formation energy from the elements: -1.231 eV/f.u.
Density: 9.22 g/cm3



(11)
Below is crystalline Pm4DyHo2Tm at its relaxed geometry, with properties calculated at the PBE level.

abc: 5.080 5.102 10.035
angles: 90.00 90.00 90.00
Fractional coordinates of all 8 atoms:
Pm: 0.000 0.000 0.249
Pm: 0.000 0.000 0.751
Pm: 0.500 0.500 0.249
Pm: 0.500 0.500 0.751
Dy: 0.000 0.500 0.500
Ho: 0.000 0.500 0.000
Ho: 0.500 0.000 0.500
Tm: 0.500 0.000 0.000

Formation energy from the elements: 0.137 eV/f.u.
Density: 7.93 g/cm3



(12)
Below is crystalline Pt2W3 at its relaxed geometry, with properties calculated at the PBE level.

abc: 4.326 4.326 5.534
angles: 90.00 90.00 120.00
Fractional coordinates of all 5 atoms:
Pt: 0.333 0.667 0.375
Pt: 0.667 0.333 0.625
W: 0.000 0.000 0.500
W: 0.333 0.667 0.895
W: 0.667 0.333 0.105

Formation energy from the elements: 3.045 eV/f.u.
E above lowest polymorph: 3.254 eV/f.u.
Density: 17.43 g/cm3



(13)
Below is crystalline La2NdBr at its relaxed geometry, with properties calculated at the PBE level.

abc: 10.999 10.999 10.999
angles: 19.97 19.97 19.97
Fractional coordinates of all 4 atoms:
La: 0.000 0.000 0.000
La: 0.184 0.184 0.184
Nd: 0.426 0.426 0.426
Br: 0.592 0.592 0.592

E above lowest polymorph: 0.037 eV/f.u.
Density: 6.14 g/cm3
Formation energy (no corrections): -584.7 meV per atom



(14)
Below is crystalline In2HgPb2 at its relaxed geometry, with properties calculated at the PBE level.

abc: 11.644 11.644 11.644
angles: 162.47 162.47 24.89
Fractional coordinates of all 5 atoms:
In: 0.091 0.091 0.000
In: 0.909 0.909 0.000
Hg: 0.500 0.500 0.000
Pb: 0.303 0.303 0.000
Pb: 0.697 0.697 0.000

Formation energy from the elements: 0.022 eV/f.u.
E above lowest polymorph: 0.000 eV/f.u.
Density: 9.79 g/cm3



(15)
Below is crystalline PuAsI2 at its relaxed geometry, with properties calculated at the PBE level.

abc: 10.903 10.903 10.903
angles: 19.93 19.93 19.93
Fractional coordinates of all 4 atoms:
Pu: 0.000 0.000 0.000
As: 0.500 0.500 0.500
I: 0.095 0.095 0.095
I: 0.905 0.905 0.905

Density: 7.22 g/cm3
Formation energy (no corrections): 360.2 meV per atom



(16)
Below is crystalline Nd2ZnAs at its relaxed geometry, with properties calculated at the PBE level.

abc: 3.816 3.816 6.824
angles: 90.00 90.00 90.00
Fractional coordinates of all 4 atoms:
Nd: 0.000 0.000 0.241
Nd: 0.000 0.000 0.759
Zn: 0.500 0.500 0.500
As: 0.500 0.500 0.000

Formation energy from the elements: -2.963 eV/f.u.
E above lowest polymorph: 0.000 eV/f.u.
Density: 7.17 g/cm3



(17)
Below is crystalline Zn2HgPt at its relaxed geometry, with properties calculated at the PBE level.

abc: 3.485 3.485 5.573
angles: 90.00 90.00 90.00
Fractional coordinates of all 4 atoms:
Zn: 0.000 0.000 0.000
Zn: 0.500 0.500 0.267
Hg: 0.000 0.000 0.506
Pt: 0.500 0.500 0.808

Formation energy from the elements: -0.448 eV/f.u.
Density: 12.92 g/cm3



(18)
Below is crystalline Li3CuCl at its relaxed geometry, with properties calculated at the PBE level.

abc: 4.769 4.769 4.769
angles: 90.00 90.00 90.00
Fractional coordinates of all 5 atoms:
Li: 0.000 0.000 0.500
Li: 0.000 0.500 0.000
Li: 0.500 0.000 0.000
Cu: 0.000 0.000 0.000
Cl: 0.500 0.500 0.500

E above lowest polymorph: 1.129 eV/f.u.
Density: 1.83 g/cm3
Formation energy (no corrections): -176.2 meV per atom



(19)
Below is crystalline Ac2Ni3Ge4Os at its relaxed geometry, with properties calculated at the PBE level.

abc: 4.265 4.265 10.249
angles: 90.00 90.00 90.00
Fractional coordinates of all 10 atoms:
Ac: 0.000 0.500 0.243
Ac: 0.500 0.000 0.757
Ni: 0.000 0.500 0.877
Ni: 0.500 0.000 0.123
Ni: 0.500 0.500 0.500
Ge: 0.000 0.000 0.000
Ge: 0.000 0.500 0.628
Ge: 0.500 0.000 0.372
Ge: 0.500 0.500 0.000
Os: 0.000 0.000 0.500

Formation energy from the elements: -5.493 eV/f.u.
Density: 9.89 g/cm3



(20)
Below is crystalline TmSiAg at its relaxed geometry, with properties calculated at the PBE level.

abc: 5.873 5.873 5.873
angles: 147.07 147.07 47.26
Fractional coordinates of all 3 atoms:
Tm: 0.000 0.000 0.000
Si: 0.673 0.673 0.000
Ag: 0.311 0.311 0.000

Density: 8.49 g/cm3
Formation energy (no corrections): -135.2 meV per atom